No. 1
The following is a GGA-PBE calculation of an optimized crystal structure of PRu2W, from the Alexandria database.

```
PRu2W
1.0
2.8588 0.0000 0.0000
0.0000 3.8907 0.0000
0.0000 0.0000 5.1775
W Ru P
1 2 1
Direct
0.0000 0.0000 0.4784
0.0000 0.0000 0.9493
0.5000 0.5000 0.2742
0.5000 0.5000 0.7981
```

Summary:
As for the space group: Pmm2. For the total energy, the calculation gives -9.1748 eV/atom. The energy of formation from the pure elements comes out at 0.054 eV per atom. The volume comes out at 14.40 Å³ per atom.

=====

No. 2
The following is a GGA-PBE calculation of an optimized crystal structure of HgSb2Te, from the Alexandria database.

```
HgSb2Te
1.0
6.8843 0.7564 -0.4810
3.6915 5.8599 0.4810
-4.9865 -3.7900 2.9947
Te Hg Sb
1 1 2
Direct
0.7500 0.2500 0.5000
0.2500 0.7500 0.5000
0.5418 0.5418 0.0000
0.9582 0.9582 0.0000
```

Summary:
As for the space group: Immm. For the total energy, the calculation gives -2.7273 eV/atom. The formation energy without anion corrections comes out at 0.779 eV/f.u. The volume comes out at 28.96 Å³ per atom.

=====

No. 3
The following is a GGA-PBE calculation of an optimized crystal structure of InSi2, from the Alexandria database.

```
InSi2
1.0
1.0103 2.0127 -4.4287
-4.2542 -2.4712 0.6934
-2.4447 4.6445 1.5531
Si In
4 2
Direct
0.0000 0.0000 0.5000
0.0000 0.0000 0.0000
0.3333 0.6667 0.7500
0.6667 0.3333 0.2500
0.3333 0.6667 0.2500
0.6667 0.3333 0.7500
```

Summary:
As for the space group: P6_3/mmc. For the total energy, the calculation gives -3.9175 eV/atom. The formation energy without anion corrections comes out at 1.832 eV/f.u. The volume comes out at 19.50 Å³ per atom.

=====

No. 4
The following is a GGA-PBE calculation of an optimized crystal structure of Pm2HoCd, from the Alexandria database.

```
Pm2HoCd
1.0
-3.5029 -2.2090 3.1232
3.8173 -1.8024 3.0140
-0.5015 9.5289 1.8652
Cd Pm Ho
2 4 2
Direct
0.2498 0.7502 0.0000
0.7502 0.2498 0.0000
0.8643 0.8643 0.2283
0.1357 0.1357 0.7717
0.5000 0.0000 0.5000
0.0000 0.5000 0.5000
0.3591 0.3591 0.2181
0.6409 0.6409 0.7819
```

Summary:
As for the space group: I4/mmm. For the total energy, the calculation gives -3.8983 eV/atom. The energy of formation from the pure elements comes out at -0.150 eV per atom. The volume comes out at 30.28 Å³ per atom.